Material: FeNiO2
Method: DFT, PBE with a Hubbard U
State: optimized geometry

Structure (POSCAR):
```
FeNiO2
1.0
-1.9095 3.7908 0.9770
-2.2414 -1.9499 3.1852
1.7893 1.9965 5.4594
O Fe Ni
4 2 2
Cartesian
-0.1880 2.2109 5.6175
-1.1695 -0.2907 3.4661
-2.3166 3.0851 7.7743
-1.0489 2.6697 2.3852
-1.2637 0.4836 5.3628
-2.0754 0.9205 2.0811
-1.0978 3.3539 4.2587
0.0000 0.0000 0.0000
```

- M_tot (μB/f.u.) = 6.0
- symmetry = No. 122
- crystal system = tetragonal
- energy relative to the lowest polymorph listed for this composition (meV per atom) = 234.2